First-principles (GGA+U) data for crystalline CrGe2Pb3O9 at its relaxed geometry, as listed in Alexandria.

Geometry as extended XYZ:
```
15
Lattice="5.5154 0.0000 0.0000 -2.7577 4.7765 0.0000 0.0000 0.0000 6.7669" Properties=species:S:1:pos:R:3 pbc="T T T"
Cr 0.0000 0.0000 0.0000
Ge 0.0000 3.1843 4.5166
Ge 2.7577 1.5922 2.2503
Pb 0.0000 0.0000 3.3835
Pb 0.0000 3.1843 1.1333
Pb 2.7577 1.5922 5.6336
O -1.3788 2.3882 3.3835
O 0.0000 1.6186 5.6021
O -1.3560 3.9672 5.6021
O 1.4017 0.8093 1.1648
O 2.7577 0.0000 3.3835
O 1.3788 2.3882 3.3835
O 1.3560 3.9672 5.6021
O 4.1137 0.8093 1.1648
O 2.7577 3.1579 1.1648
```

Summary:
* calculated total energy: -6.145 eV/atom
* DOS at the Fermi energy: 0.417 states/eV per atom